Entry 1:
VASP calculation (PBE) on a geometry-optimized AsIr8 structure.

It has space group C2/m (No. 12), with a = 8.5721 Å, b = 3.8595 Å, c = 24.3538 Å, α = 90.00°, β = 90.12° and γ = 90.00°. The inequivalent atoms are As at (0.0512, 0.0000, 0.2026), Ir at (0.0492, 0.0000, 0.5536), Ir at (0.0518, 0.5000, 0.3756), Ir at (0.0533, 0.5000, 0.7318), Ir at (0.1498, 0.0000, 0.6597), Ir at (0.1500, 0.5000, 0.4820), Ir at (0.1516, 0.0000, 0.3039), Ir at (0.2481, 0.5000, 0.5888) and Ir at (0.2490, 0.5000, 0.2339).

The calculation puts the calculated total energy at -8.30 eV per atom. The value obtained for the total magnetization is 0.00 μB/atom.


Entry 2:
VASP calculation (PBE) on a geometry-optimized TbTm2Ge4Au4 structure.

It has space group Immm (No. 71), with a = 4.3167 Å, b = 7.0656 Å, c = 14.5733 Å, α = 90.00°, β = 90.00° and γ = 90.00°. The inequivalent atoms are Tb at (0.0000, 0.0000, 0.0000), Tm at (0.0000, 0.5000, 0.1257), Ge at (0.0000, 0.0000, 0.2169), Ge at (0.0000, 0.1829, 0.5000) and Au at (0.0000, 0.2972, 0.3335).

The calculation puts the calculated total energy at -4.76 eV per atom. The value obtained for the total magnetization is 0.00 μB/atom.


Entry 3:
VASP calculation (PBE) on a geometry-optimized NaFeBTe structure.

It has space group F-43m (No. 216), with a = 6.4407 Å, b = 6.4407 Å, c = 6.4407 Å, α = 90.00°, β = 90.00° and γ = 90.00°. The inequivalent atoms are Na at (0.0000, 0.0000, 0.0000), Fe at (0.2500, 0.2500, 0.2500), B at (0.2500, 0.2500, 0.7500) and Te at (0.0000, 0.0000, 0.5000).

The value obtained for the energy relative to the lowest polymorph listed for this composition is 127.9 meV/atom. The value obtained for the total magnetization is 0.51 μB/atom.